Material: Ho3InAg3S8
Method: DFT, PBE
State: relaxed

Structure (POSCAR):
```
Ho3InAg3S8
1.0
6.5102 -3.9687 0.0000
6.5102 3.9687 0.0000
-4.5298 0.0000 6.5122
Ho In Ag S
3 1 3 8
direct
0.0000 0.0000 0.0000 Ho
0.0000 0.5000 0.5000 Ho
0.5000 0.0000 0.5000 Ho
0.5000 0.5000 0.0000 In
0.0000 0.5000 0.0000 Ag
0.5000 0.0000 0.0000 Ag
0.5000 0.5000 0.5000 Ag
0.2512 0.7377 0.2282 S
0.2516 0.2516 0.2690 S
0.2550 0.2550 0.7470 S
0.2623 0.7488 0.7718 S
0.7377 0.2512 0.2282 S
0.7450 0.7450 0.2530 S
0.7484 0.7484 0.7310 S
0.7488 0.2623 0.7718 S
```

VASP energy in Ry/atom: -0.363
Formation energy (no corrections) in eV/atom: -1.06
Fermi-level density of states in states/eV per cell: 8.312

=====

Material: MgHIr3
Method: DFT, PBE
State: relaxed

Structure (POSCAR):
```
MgHIr3
1.0
10.1740 0.0000 0.0000
0.0000 2.8419 0.0000
-2.3856 0.0000 4.3115
Mg H Ir
2 2 6
direct
0.0000 0.0000 0.0000 Mg
0.5000 0.5000 0.0000 Mg
0.1741 0.5000 0.3283 H
0.6741 0.0000 0.3283 H
0.2450 0.0000 0.5982 Ir
0.2549 0.5000 0.0793 Ir
0.4952 0.0000 0.5219 Ir
0.7450 0.5000 0.5982 Ir
0.7549 0.0000 0.0793 Ir
0.9952 0.5000 0.5219 Ir
```

VASP energy in Ry/atom: -0.471
Fermi-level density of states in states/eV per cell: 5.903